(1)
Density functional theory data (GGA-PBEsol) for TiH2 after structural relaxation.

a = 2.878 Å, b = 2.878 Å, c = 4.792 Å
α = 90.00°, β = 90.00°, γ = 90.00°
Element x y z (fractional)
1 Ti 0.250 0.250 0.236
2 Ti 0.750 0.750 0.764
3 H 0.250 0.250 0.843
4 H 0.250 0.750 0.500
5 H 0.750 0.250 0.500
6 H 0.750 0.750 0.157

Results
Space group = No. 129
Spin magnetization = 0.0 μB per formula unit
N(E_F) = 0.165 states/eV per atom
V = 19.8 Å³/f.u.
Energy = -32.73 eV for the cell shown


(2)
Density functional theory data (GGA-PBEsol) for Ti2H3 after structural relaxation.

a = 4.292 Å, b = 4.292 Å, c = 4.345 Å
α = 90.00°, β = 90.00°, γ = 90.00°
Element x y z (fractional)
1 Ti 0.238 0.238 0.000
2 Ti 0.238 0.762 0.500
3 Ti 0.762 0.238 0.500
4 Ti 0.762 0.762 0.000
5 H 0.000 0.500 0.250
6 H 0.000 0.500 0.750
7 H 0.500 0.000 0.250
8 H 0.500 0.000 0.750
9 H 0.500 0.500 0.250
10 H 0.500 0.500 0.750

Results
Space group = No. 132
Spin magnetization = 0.0 μB per formula unit
N(E_F) = 0.344 states/eV per atom
V = 40.0 Å³/f.u.
Energy = -57.95 eV for the cell shown


(3)
Density functional theory data (GGA-PBEsol) for Ti4H5 after structural relaxation.

a = 4.146 Å, b = 4.146 Å, c = 4.552 Å
α = 90.00°, β = 90.00°, γ = 90.00°
Element x y z (fractional)
1 Ti 0.244 0.244 0.246
2 Ti 0.244 0.756 0.754
3 Ti 0.756 0.244 0.754
4 Ti 0.756 0.756 0.246
5 H 0.000 0.500 0.000
6 H 0.000 0.500 0.500
7 H 0.500 0.000 0.000
8 H 0.500 0.000 0.500
9 H 0.500 0.500 0.500

Results
Space group = No. 111
Spin magnetization = 0.0 μB per formula unit
N(E_F) = 0.510 states/eV per atom
V = 78.3 Å³/f.u.
Energy = -53.81 eV for the cell shown


(4)
Density functional theory data (GGA-PBEsol) for Ti2TlH2 after structural relaxation.

a = 5.260 Å, b = 5.260 Å, c = 5.260 Å
α = 140.85°, β = 140.85°, γ = 56.56°
Element x y z (fractional)
1 Ti 0.173 0.173 0.000
2 Ti 0.827 0.827 0.000
3 Tl 0.500 0.500 0.000
4 H 0.250 0.750 0.500
5 H 0.750 0.250 0.500

Results
Space group = No. 139
Spin magnetization = 0.0 μB per formula unit
N(E_F) = 0.885 states/eV per atom
V = 57.5 Å³/f.u.
Energy = -27.59 eV for the cell shown


(5)
Density functional theory data (GGA-PBEsol) for TiV3H after structural relaxation.

a = 3.872 Å, b = 3.872 Å, c = 3.872 Å
α = 90.00°, β = 90.00°, γ = 90.00°
Element x y z (fractional)
1 Ti 0.000 0.000 0.000
2 V 0.000 0.500 0.500
3 V 0.500 0.000 0.500
4 V 0.500 0.500 0.000
5 H 0.500 0.500 0.500

Results
Space group = No. 221
Spin magnetization = 0.0 μB per formula unit
N(E_F) = 1.542 states/eV per atom
V = 58.0 Å³/f.u.
Energy = -40.15 eV for the cell shown


(6)
Density functional theory data (GGA-PBEsol) for TiH2W after structural relaxation.

a = 4.672 Å, b = 4.672 Å, c = 4.672 Å
α = 120.07°, β = 120.07°, γ = 89.88°
Element x y z (fractional)
1 Ti 0.000 0.000 0.000
2 Ti 0.750 0.250 0.500
3 H 0.126 0.625 0.001
4 H 0.375 0.376 0.501
5 H 0.624 0.125 0.999
6 H 0.875 0.874 0.499
7 W 0.250 0.750 0.500
8 W 0.500 0.500 0.000

Results
Space group = No. 122
Spin magnetization = 0.0 μB per formula unit
N(E_F) = 0.273 states/eV per atom
V = 36.0 Å³/f.u.
Energy = -58.73 eV for the cell shown


(7)
Density functional theory data (GGA-PBEsol) for Y3TiH after structural relaxation.

a = 4.744 Å, b = 4.744 Å, c = 4.744 Å
α = 90.00°, β = 90.00°, γ = 90.00°
Element x y z (fractional)
1 Y 0.000 0.000 0.500
2 Y 0.000 0.500 0.000
3 Y 0.500 0.000 0.000
4 Ti 0.500 0.500 0.500
5 H 0.000 0.000 0.000

Results
Space group = No. 221
Spin magnetization = 0.8 μB per formula unit
N(E_F) = 1.227 states/eV per atom
V = 106.7 Å³/f.u.
Energy = -32.14 eV for the cell shown


(8)
Density functional theory data (GGA-PBEsol) for YTi3H after structural relaxation.

a = 4.845 Å, b = 4.845 Å, c = 4.845 Å
α = 90.00°, β = 90.00°, γ = 90.00°
Element x y z (fractional)
1 Y 0.000 0.000 0.000
2 Ti 0.000 0.000 0.500
3 Ti 0.000 0.500 0.000
4 Ti 0.500 0.000 0.000
5 H 0.500 0.500 0.500

Results
Space group = No. 221
Spin magnetization = 2.7 μB per formula unit
N(E_F) = 1.465 states/eV per atom
V = 113.7 Å³/f.u.
Energy = -24.34 eV for the cell shown


(9)
Density functional theory data (GGA-PBEsol) for TiZn2H after structural relaxation.

a = 4.192 Å, b = 4.192 Å, c = 4.192 Å
α = 60.00°, β = 60.00°, γ = 60.00°
Element x y z (fractional)
1 Ti 0.000 0.000 0.000
2 Zn 0.250 0.250 0.250
3 Zn 0.750 0.750 0.750
4 H 0.500 0.500 0.500

Results
Space group = No. 225
Spin magnetization = 0.0 μB per formula unit
N(E_F) = 0.568 states/eV per atom
V = 52.1 Å³/f.u.
Energy = -12.32 eV for the cell shown


(10)
Density functional theory data (GGA-PBEsol) for Ti3ZnH after structural relaxation.

a = 3.988 Å, b = 3.988 Å, c = 3.988 Å
α = 90.00°, β = 90.00°, γ = 90.00°
Element x y z (fractional)
1 Ti 0.000 0.000 0.500
2 Ti 0.000 0.500 0.000
3 Ti 0.500 0.000 0.000
4 Zn 0.500 0.500 0.500
5 H 0.000 0.000 0.000

Results
Space group = No. 221
Spin magnetization = 0.0 μB per formula unit
N(E_F) = 0.478 states/eV per atom
V = 63.4 Å³/f.u.
Energy = -31.32 eV for the cell shown


(11)
Density functional theory data (GGA-PBEsol) for ZrTiZnH2 after structural relaxation.

a = 3.647 Å, b = 3.647 Å, c = 5.537 Å
α = 90.00°, β = 90.00°, γ = 90.00°
Element x y z (fractional)
1 Zr 0.000 0.000 0.000
2 Ti 0.500 0.500 0.000
3 Zn 0.000 0.000 0.500
4 H 0.000 0.500 0.500
5 H 0.500 0.000 0.500

Results
Space group = No. 123
Spin magnetization = 0.0 μB per formula unit
N(E_F) = 0.747 states/eV per atom
V = 73.7 Å³/f.u.
Energy = -20.92 eV for the cell shown


(12)
Density functional theory data (GGA-PBEsol) for ZrTi3H after structural relaxation.

a = 4.174 Å, b = 4.174 Å, c = 4.174 Å
α = 90.00°, β = 90.00°, γ = 90.00°
Element x y z (fractional)
1 Zr 0.000 0.000 0.000
2 Ti 0.000 0.500 0.500
3 Ti 0.500 0.000 0.500
4 Ti 0.500 0.500 0.000
5 H 0.500 0.500 0.500

Results
E above lowest polymorph = 0.0 meV per atom
Space group = No. 221
Spin magnetization = 0.0 μB per formula unit
N(E_F) = 1.551 states/eV per atom
V = 72.7 Å³/f.u.
Energy = -37.76 eV for the cell shown


(13)
Density functional theory data (GGA-PBEsol) for ZrTiH2 after structural relaxation.

a = 4.990 Å, b = 4.990 Å, c = 4.990 Å
α = 120.77°, β = 120.77°, γ = 88.68°
Element x y z (fractional)
1 Zr 0.000 0.000 0.000
2 Zr 0.750 0.250 0.500
3 Ti 0.250 0.750 0.500
4 Ti 0.500 0.500 0.000
5 H 0.152 0.625 0.027
6 H 0.375 0.402 0.527
7 H 0.598 0.125 0.973
8 H 0.875 0.848 0.473

Results
Space group = No. 122
Spin magnetization = 0.0 μB per formula unit
N(E_F) = 0.861 states/eV per atom
V = 43.4 Å³/f.u.
Energy = -50.89 eV for the cell shown


(14)
Density functional theory data (GGA-PBEsol) for ZrTi3H after structural relaxation.

a = 4.766 Å, b = 4.766 Å, c = 4.766 Å
α = 90.00°, β = 90.00°, γ = 90.00°
Element x y z (fractional)
1 Zr 0.000 0.000 0.000
2 Ti 0.000 0.000 0.500
3 Ti 0.000 0.500 0.000
4 Ti 0.500 0.000 0.000
5 H 0.500 0.500 0.500

Results
E above lowest polymorph = 1911.6 meV per atom
Space group = No. 221
Spin magnetization = 1.6 μB per formula unit
N(E_F) = 1.682 states/eV per atom
V = 108.3 Å³/f.u.
Energy = -28.20 eV for the cell shown


(15)
Density functional theory data (GGA-PBEsol) for Zr3TiH after structural relaxation.

a = 4.400 Å, b = 4.400 Å, c = 4.400 Å
α = 90.00°, β = 90.00°, γ = 90.00°
Element x y z (fractional)
1 Zr 0.000 0.000 0.500
2 Zr 0.000 0.500 0.000
3 Zr 0.500 0.000 0.000
4 Ti 0.500 0.500 0.500
5 H 0.000 0.000 0.000

Results
Space group = No. 221
Spin magnetization = 0.0 μB per formula unit
N(E_F) = 1.294 states/eV per atom
V = 85.2 Å³/f.u.
Energy = -39.30 eV for the cell shown


(16)
Density functional theory data (GGA-PBEsol) for Y2TlH after structural relaxation.

a = 6.080 Å, b = 6.080 Å, c = 6.080 Å
α = 111.51°, β = 111.51°, γ = 105.46°
Element x y z (fractional)
1 Y 0.028 0.625 0.903
2 Y 0.375 0.278 0.403
3 Y 0.722 0.125 0.097
4 Y 0.875 0.972 0.597
5 Tl 0.250 0.750 0.500
6 Tl 0.500 0.500 0.000
7 H 0.000 0.000 0.000
8 H 0.750 0.250 0.500

Results
Space group = No. 122
Spin magnetization = 0.0 μB per formula unit
N(E_F) = 0.807 states/eV per atom
V = 86.2 Å³/f.u.
Energy = -42.24 eV for the cell shown


(17)
Density functional theory data (GGA-PBEsol) for Y3TlH after structural relaxation.

a = 4.776 Å, b = 4.776 Å, c = 4.776 Å
α = 90.00°, β = 90.00°, γ = 90.00°
Element x y z (fractional)
1 Y 0.000 0.000 0.500
2 Y 0.000 0.500 0.000
3 Y 0.500 0.000 0.000
4 Tl 0.500 0.500 0.500
5 H 0.000 0.000 0.000

Results
Space group = No. 221
Spin magnetization = 1.4 μB per formula unit
N(E_F) = 0.983 states/eV per atom
V = 108.9 Å³/f.u.
Energy = -28.25 eV for the cell shown


(18)
Density functional theory data (GGA-PBEsol) for Y2TlH2 after structural relaxation.

a = 6.526 Å, b = 6.526 Å, c = 6.526 Å
α = 146.56°, β = 146.56°, γ = 48.01°
Element x y z (fractional)
1 Y 0.152 0.152 0.000
2 Y 0.848 0.848 0.000
3 Tl 0.500 0.500 0.000
4 H 0.250 0.750 0.500
5 H 0.750 0.250 0.500

Results
Space group = No. 139
Spin magnetization = 0.0 μB per formula unit
N(E_F) = 0.313 states/eV per atom
V = 84.0 Å³/f.u.
Energy = -26.28 eV for the cell shown


(19)
Density functional theory data (GGA-PBEsol) for ZrTlH3 after structural relaxation.

a = 3.850 Å, b = 3.850 Å, c = 3.850 Å
α = 90.00°, β = 90.00°, γ = 90.00°
Element x y z (fractional)
1 Zr 0.000 0.000 0.000
2 Tl 0.500 0.500 0.500
3 H 0.000 0.500 0.500
4 H 0.500 0.000 0.500
5 H 0.500 0.500 0.000

Results
Space group = No. 221
Spin magnetization = 0.0 μB per formula unit
N(E_F) = 0.286 states/eV per atom
V = 57.1 Å³/f.u.
Energy = -17.92 eV for the cell shown


(20)
Density functional theory data (GGA-PBEsol) for TmH2 after structural relaxation.

a = 3.543 Å, b = 3.543 Å, c = 3.543 Å
α = 60.00°, β = 60.00°, γ = 60.00°
Element x y z (fractional)
1 Tm 0.000 0.000 0.000
2 H 0.250 0.250 0.250
3 H 0.750 0.750 0.750

Results
Space group = No. 225
Spin magnetization = 0.0 μB per formula unit
N(E_F) = 0.231 states/eV per atom
V = 31.4 Å³/f.u.
Energy = -13.74 eV for the cell shown


(21)
Density functional theory data (GGA-PBEsol) for TmH3 after structural relaxation.

a = 6.094 Å, b = 6.094 Å, c = 6.328 Å
α = 90.00°, β = 90.00°, γ = 120.00°
Element x y z (fractional)
1 Tm 0.000 0.336 0.250
2 Tm 0.000 0.664 0.750
3 Tm 0.336 0.000 0.250
4 Tm 0.336 0.336 0.750
5 Tm 0.664 0.000 0.750
6 Tm 0.664 0.664 0.250
7 H 0.000 0.000 0.250
8 H 0.000 0.000 0.750
9 H 0.026 0.348 0.907
10 H 0.026 0.677 0.407
11 H 0.323 0.348 0.407
12 H 0.323 0.974 0.907
13 H 0.333 0.667 0.179
14 H 0.333 0.667 0.679
15 H 0.348 0.026 0.593
16 H 0.348 0.323 0.093
17 H 0.652 0.677 0.907
18 H 0.652 0.974 0.407
19 H 0.667 0.333 0.321
20 H 0.667 0.333 0.821
21 H 0.677 0.026 0.093
22 H 0.677 0.652 0.593
23 H 0.974 0.323 0.593
24 H 0.974 0.652 0.093

Results
Space group = No. 165
Spin magnetization = 0.0 μB per formula unit
N(E_F) = 0.019 states/eV per atom
V = 33.9 Å³/f.u.
Energy = -104.62 eV for the cell shown


(22)
Density functional theory data (GGA-PBEsol) for UH3 after structural relaxation.

a = 4.003 Å, b = 4.003 Å, c = 4.003 Å
α = 90.00°, β = 90.00°, γ = 90.00°
Element x y z (fractional)
1 U 0.000 0.000 0.000
2 U 0.500 0.500 0.500
3 H 0.000 0.250 0.500
4 H 0.000 0.750 0.500
5 H 0.250 0.500 0.000
6 H 0.500 0.000 0.250
7 H 0.500 0.000 0.750
8 H 0.750 0.500 0.000

Results
Space group = No. 223
Spin magnetization = 2.0 μB per formula unit
N(E_F) = 1.269 states/eV per atom
V = 32.1 Å³/f.u.
Energy = -46.03 eV for the cell shown


(23)
Density functional theory data (GGA-PBEsol) for VH after structural relaxation.

a = 2.695 Å, b = 2.695 Å, c = 4.468 Å
α = 90.00°, β = 90.00°, γ = 109.21°
Element x y z (fractional)
1 V 0.000 0.500 0.000
2 V 0.500 0.000 0.500
3 H 0.000 0.000 0.250
4 H 0.000 0.000 0.750

Results
Space group = No. 66
Spin magnetization = 0.0 μB per formula unit
N(E_F) = 0.336 states/eV per atom
V = 15.3 Å³/f.u.
Energy = -26.83 eV for the cell shown


(24)
Density functional theory data (GGA-PBEsol) for VH after structural relaxation.

a = 2.756 Å, b = 2.756 Å, c = 2.756 Å
α = 60.00°, β = 60.00°, γ = 60.00°
Element x y z (fractional)
1 V 0.000 0.000 0.000
2 H 0.500 0.500 0.500

Results
Space group = No. 225
Spin magnetization = 0.0 μB per formula unit
N(E_F) = 0.784 states/eV per atom
V = 14.8 Å³/f.u.
Energy = -13.38 eV for the cell shown


(25)
Density functional theory data (GGA-PBEsol) for VH after structural relaxation.

a = 2.699 Å, b = 2.699 Å, c = 4.838 Å
α = 90.00°, β = 90.00°, γ = 120.00°
Element x y z (fractional)
1 V 0.000 0.000 0.000
2 V 0.000 0.000 0.500
3 H 0.333 0.667 0.250
4 H 0.667 0.333 0.750

Results
Space group = No. 194
Spin magnetization = 0.0 μB per formula unit
N(E_F) = 0.803 states/eV per atom
V = 15.3 Å³/f.u.
Energy = -25.64 eV for the cell shown


(26)
Density functional theory data (GGA-PBEsol) for HW after structural relaxation.

a = 2.916 Å, b = 2.916 Å, c = 4.713 Å
α = 90.00°, β = 90.00°, γ = 120.00°
Element x y z (fractional)
1 H 0.000 0.000 0.000
2 H 0.000 0.000 0.500
3 W 0.333 0.667 0.250
4 W 0.667 0.333 0.750

Results
Space group = No. 194
Spin magnetization = 0.0 μB per formula unit
N(E_F) = 0.311 states/eV per atom
V = 17.3 Å³/f.u.
Energy = -33.91 eV for the cell shown


(27)
Density functional theory data (GGA-PBEsol) for Zn3HW after structural relaxation.

a = 4.973 Å, b = 4.973 Å, c = 4.973 Å
α = 90.00°, β = 90.00°, γ = 90.00°
Element x y z (fractional)
1 Zn 0.000 0.000 0.500
2 Zn 0.000 0.500 0.000
3 Zn 0.500 0.000 0.000
4 H 0.500 0.500 0.500
5 W 0.000 0.000 0.000

Results
Space group = No. 221
Spin magnetization = 3.0 μB per formula unit
N(E_F) = 0.709 states/eV per atom
V = 123.0 Å³/f.u.
Energy = -13.00 eV for the cell shown